Computed, not measured: a geometry-optimized AcTb6HoEr2 structure at the PBE level of DFT.

```
AcTb6HoEr2
1.0
4.618 -7.603 0.000
4.618 7.603 0.000
-0.829 0.000 9.480
Ac Tb Ho Er
2 12 2 4
direct
0.030 0.970 0.750
0.970 0.030 0.250
0.012 0.554 0.681
0.127 0.752 0.056
0.248 0.873 0.444
0.288 0.511 0.883
0.446 0.988 0.819
0.489 0.712 0.617
0.511 0.288 0.383
0.554 0.012 0.181
0.712 0.489 0.117
0.752 0.127 0.556
0.873 0.248 0.944
0.988 0.446 0.319
0.412 0.588 0.250
0.588 0.412 0.750
0.204 0.317 0.549
0.317 0.204 0.049
0.683 0.796 0.951
0.796 0.683 0.451
```

For the energy relative to the elements, the calculation gives 12.4 kJ per mole of atoms.